This record from Alexandria describes a relaxed structure of FeCo6Si3. The functional is PBE-GGA.

Cell lengths 7.249, 3.737, 8.107 Å; angles 90.00, 99.21, 90.00 degrees
Space group P2_1/m (No. 11)
One atom of each set of equivalent atoms:
Fe  0.048  0.250  0.398 (multiplicity 2)
Co  0.079  0.750  0.915 (multiplicity 2)
Co  0.136  0.750  0.224 (multiplicity 2)
Co  0.183  0.250  0.726 (multiplicity 2)
Co  0.273  0.750  0.516 (multiplicity 2)
Co  0.371  0.250  0.313 (multiplicity 2)
Co  0.449  0.750  0.099 (multiplicity 2)
Si  0.231  0.250  0.036 (multiplicity 2)
Si  0.357  0.750  0.810 (multiplicity 2)
Si  0.453  0.250  0.605 (multiplicity 2)

Output
- density of states at the Fermi level (states/eV/atom) = 0.482
- ρ (g/cm3) = 7.56
- formation energy from raw total energies (meV per atom) = -353
- volume (A^3/atom) = 10.84



This record from Alexandria describes a relaxed structure of CaIn3. The functional is PBE-GGA.

Cell lengths 3.7228, 3.7228, 9.6789 Å; angles 90.00, 90.00, 120.00 degrees
Space group P-6m2 (No. 187)
One atom of each set of equivalent atoms:
Ca  0.0000  0.0000  0.0000 (multiplicity 1)
In  0.0000  0.0000  0.5000 (multiplicity 1)
In  0.6667  0.3333  0.2653 (multiplicity 2)

Output
- density of states at the Fermi level (states/eV/atom) = 0.449
- ΔH_f (0 K) (eV per atom) = -0.1253
- ρ (g/cm3) = 5.50
- volume (A^3/atom) = 29.04